Computed, not measured: TbSmTl2S4 after structural relaxation at the PBE level of DFT.

Space-group type: P2/m

abc: 4.0882 7.0824 7.8735
angles: 107.43 90.00 90.00
Fractional positions:
S 0.5000 0.7708 0.8005
S 0.5000 0.2292 0.1995
S 0.0000 0.7377 0.2013
S 0.0000 0.2623 0.7987
Tb 0.0000 0.0000 0.0000
Sm 0.5000 0.5000 0.0000
Tl 0.5000 0.0000 0.5000
Tl 0.0000 0.5000 0.5000

Computed, not measured: TbSm2Tl3S6 after structural relaxation at the PBE level of DFT.

Space-group type: C2/m

abc: 7.1046 7.1046 7.8753
angles: 98.65 98.65 120.00
Fractional positions:
S 0.7382 0.7382 0.2015
S 0.2618 0.2618 0.7985
S 0.9331 0.6043 0.7995
S 0.6043 0.9331 0.7995
S 0.0669 0.3957 0.2005
S 0.3957 0.0669 0.2005
Sm 0.6667 0.3333 0.0000
Sm 0.3333 0.6667 0.0000
Tb 0.0000 0.0000 0.0000
Tl 0.5000 0.5000 0.5000
Tl 0.1672 0.8328 0.5000
Tl 0.8328 0.1672 0.5000

Computed, not measured: Tb3SmTl4S8 after structural relaxation at the PBE level of DFT.

Space-group type: R-3m

abc: 8.1398 8.8657 8.1406
angles: 117.36 120.00 90.00
Fractional positions:
Tb 0.5000 0.5000 0.0000
Tb 0.0000 0.5000 0.5000
Tb 0.5000 0.5000 0.5000
Sm 0.0000 0.5000 0.0000
S 0.2706 0.3001 0.0352
S 0.7294 0.6999 0.9648
S 0.2672 0.3018 0.5344
S 0.7647 0.3002 0.5293
S 0.7647 0.3001 0.0352
S 0.2353 0.6998 0.4707
S 0.2353 0.6999 0.9648
S 0.7328 0.6982 0.4656
Tl 0.0000 0.0000 0.5000
Tl 0.0000 0.0000 0.0000
Tl 0.5000 0.0000 0.5000
Tl 0.5000 0.0000 0.0000

Computed, not measured: TbSm4TmS8 after structural relaxation at the PBE level of DFT.

Space-group type: R3m

abc: 8.1687 8.1687 8.1597
angles: 59.96 59.96 60.00
Fractional positions:
Tb 0.0011 0.0011 0.9966
S 0.2238 0.7614 0.2534
S 0.7614 0.7614 0.2534
S 0.2467 0.2467 0.2600
S 0.7576 0.7576 0.7272
S 0.7631 0.2430 0.7509
S 0.2430 0.2430 0.7509
S 0.7614 0.2238 0.2534
S 0.2430 0.7631 0.7509
Sm 0.0012 0.0012 0.5009
Sm 0.6246 0.6246 0.1263
Sm 0.0012 0.4966 0.5009
Sm 0.4966 0.0012 0.5009
Tm 0.3753 0.3753 0.8742

no.,E (eV/cell),M_tot (Bohr magnetons per cell),density of states at the Fermi level (states/eV per cell)
1,-42.4,0.0,0.0
2,-63.6,0.0,0.0
3,-84.8,0.0,0.0
4,-87.9,0.0,8.5